(1)
# CrMo2W

A relaxed CrMo2W crystal (GGA-PBEsol, the Alexandria database).

The space-group type is Imm2. The calculation puts the formation energy at 0.07 eV/atom. Its total energy is -11.83 eV per atom. The size of the total moment comes out at 0.000 μB per atom. The density is 12.3 g/cm³. The calculation puts the offset from the most stable computed form at 6 kJ/mol of formula units.

Cell and atoms, written as extended XYZ:
```
4
Lattice="3.073 0.000 0.000 0.000 4.356 0.000 -1.536 -2.178 4.320" Properties=species:S:1:pos:R:3 pbc="T T T"
Cr 1.536 2.178 2.160
Mo 0.000 2.178 0.021
Mo 0.000 0.000 2.165
W 0.000 2.178 4.295
```



(2)
# CrMoW2

A relaxed CrMoW2 crystal (GGA-PBEsol, the Alexandria database).

The space-group type is Pmmm. The calculation puts the formation energy at 0.08 eV/atom. Its total energy is -12.33 eV per atom. The size of the total moment comes out at 0.001 μB per atom. The density is 14.7 g/cm³. The calculation puts the offset from the most stable computed form at 12 kJ/mol of formula units.

Cell and atoms, written as extended XYZ:
```
4
Lattice="3.082 0.000 0.000 0.000 4.335 0.000 0.000 0.000 4.368" Properties=species:S:1:pos:R:3 pbc="T T T"
Cr 1.541 2.167 0.000
Mo 0.000 2.167 2.184
W 0.000 0.000 0.000
W 1.541 0.000 2.184
```



(3)
# CrMoW2

A relaxed CrMoW2 crystal (GGA-PBEsol, the Alexandria database).

The space-group type is P4/mmm. The calculation puts the formation energy at 0.05 eV/atom. Its total energy is -12.36 eV per atom. The size of the total moment comes out at 0.000 μB per atom. The density is 14.8 g/cm³. The calculation puts the offset from the most stable computed form at 1 kJ/mol of formula units.

Cell and atoms, written as extended XYZ:
```
4
Lattice="-1.284 2.639 0.912 -2.792 -1.206 -0.440 -0.040 -2.023 5.801" Properties=species:S:1:pos:R:3 pbc="T T T"
Cr -2.038 0.716 0.236
Mo -2.058 -0.296 3.136
W -0.030 -1.536 4.404
W -0.010 -0.487 1.397
```